First-principles (PBE-GGA) data for a relaxed structure of AgSnPbI5, as listed in Alexandria.

Output
Total energy = -2.690 eV per atom
Mass density = 4.961 g/cm³
Formation energy without anion corrections = -39 kJ per mole of atoms

The structure in CIF format:
```
data_AgSnPbI5
_chemical_formula_sum 'Ag4 Sn4 Pb4 I20'
_cell_length_a 10.246
_cell_length_b 13.456
_cell_length_c 11.447
_cell_angle_alpha 90.00
_cell_angle_beta 115.00
_cell_angle_gamma 90.00
_space_group_name_H-M_alt 'C 1 2/c 1'
_space_group_IT_number 15
loop_
_space_group_symop_operation_xyz
'x,y,z'
'-x,-y,-z'
'-x,y,-z+1/2'
'x,-y,z+1/2'
'x+1/2,y+1/2,z'
'-x+1/2,-y+1/2,-z'
'-x+1/2,y+1/2,-z+1/2'
'x+1/2,-y+1/2,z+1/2'
loop_
_atom_site_label
_atom_site_type_symbol
_atom_site_fract_x
_atom_site_fract_y
_atom_site_fract_z
Ag1 Ag 0.000 0.072 0.250
Sn1 Sn 0.000 0.385 0.250
Pb1 Pb 0.250 0.250 0.000
I1 I 0.000 0.364 0.750
I2 I 0.041 0.213 0.449
I3 I 0.238 0.060 0.824
```